# 1
The following is a DFT calculation (PBE) of Si2SnRhN after structural relaxation.

As for the raw total energy: -6.374 eV per atom. The value obtained for the density of states at the Fermi level is 0.70 states/eV per cell. As for the space group: P1 (1). The calculation puts the offset from the most stable computed form at 0.107 eV per atom. The calculation puts the magnetic moment at 0.0 μB per formula unit. The calculation puts the energy relative to the elements, uncorrected at -0.27 eV per atom.

Cell lengths 2.9427, 4.5965, 6.8501 Å; angles 72.58, 77.67, 71.41 degrees
Closest atoms and distances in Å follow each position.
Fractional positions:
Si (0.8205, 0.5777, 0.4195)  2 N 1.74
Si (0.1310, 0.2958, 0.0846)  3 Rh 2.38-2.49
Sn (0.5082, 0.9104, 0.7119)  1 N 2.14
Rh (0.8503, 0.8736, 0.0666)  4 Si 2.38-2.49
N (0.3873, 0.3665, 0.4967)  2 Si 1.74

=====

# 2
The following is a DFT calculation (PBE) of KAs2Cl after structural relaxation.

As for the raw total energy: -2.733 eV per atom. The value obtained for the density of states at the Fermi level is 2.95 states/eV per cell. As for the space group: P4/mmm (123). The calculation puts the offset from the most stable computed form at 1.029 eV per atom. The calculation puts the magnetic moment at 0.0 μB per formula unit. The calculation puts the energy relative to the elements, uncorrected at 0.33 eV per atom.

Cell lengths 5.8618, 5.8618, 2.8912 Å; angles 90.00, 90.00, 90.00 degrees
Closest atoms and distances in Å follow each position.
Fractional positions:
As (0.0000, 0.0000, 0.0000)  2 As 2.89
As (0.5000, 0.5000, 0.0000)  2 As 2.89
K (0.0000, 0.5000, 0.5000)  2 K 2.89
Cl (0.5000, 0.0000, 0.5000)  2 Cl 2.89

=====

# 3
The following is a DFT calculation (PBE) of AcH8C2Cl after structural relaxation.

As for the raw total energy: -4.582 eV per atom. As for the space group: C2/m (12). The calculation puts the magnetic moment at 0.0 μB per formula unit.

Cell lengths 7.1965, 7.1965, 5.7160 Å; angles 99.24, 99.24, 79.23 degrees
Closest atoms and distances in Å follow each position.
Fractional positions:
Ac (0.0000, 0.0000, 0.0000)  2 Cl 2.86
H (0.5432, 0.3481, 0.7217)  1 C 1.10
H (0.6714, 0.6714, 0.1696)  1 C 1.10
H (0.6710, 0.6710, 0.4834)  1 C 1.10
H (0.3290, 0.3290, 0.5166)  1 C 1.10
H (0.3286, 0.3286, 0.8304)  1 C 1.10
H (0.3481, 0.5432, 0.7217)  1 C 1.10
H (0.6519, 0.4568, 0.2783)  1 C 1.10
H (0.4568, 0.6519, 0.2783)  1 C 1.10
C (0.6129, 0.6129, 0.3028)  4 H 1.10
C (0.3871, 0.3871, 0.6972)  4 H 1.10
Cl (0.0000, 0.0000, 0.5000)  2 Ac 2.86

=====

# 4
The following is a DFT calculation (PBE) of Ce4Ga3Pd after structural relaxation.

As for the raw total energy: -5.137 eV per atom. The value obtained for the density of states at the Fermi level is 14.12 states/eV per cell. As for the space group: Immm (71). The formation energy from the elements comes out at -385.9 meV/atom. The calculation puts the offset from the most stable computed form at 0.105 eV per atom. The calculation puts the magnetic moment at 0.7 μB per formula unit.

Cell lengths 4.5731, 4.4889, 10.9641 Å; angles 52.10, 102.04, 90.00 degrees
Closest atoms and distances in Å follow each position.
Fractional positions:
Ce (0.6199, 0.1404, 0.2397)  2 Ce 2.89, 2 Pd 3.01, 6 Ga 3.04-3.22
Ce (0.3801, 0.8596, 0.7603)  2 Ce 2.89, 2 Pd 3.01, 6 Ga 3.04-3.22
Ce (0.7293, 0.3122, 0.4585)  2 Ce 2.89, 2 Ga 3.10
Ce (0.2707, 0.6878, 0.5415)  2 Ce 2.89, 2 Ga 3.10
Ga (0.0000, 0.5000, 0.0000)  4 Ga 2.84, 4 Ce 3.04
Ga (0.8960, 0.3123, 0.7920)  2 Ga 2.84, 2 Pd 2.87, 2 Ce 3.10
Ga (0.1040, 0.6877, 0.2080)  2 Ga 2.84, 2 Pd 2.87, 2 Ce 3.10
Pd (0.5000, 0.0000, 0.0000)  8 Ga 2.87-3.20, 4 Ce 3.01

=====

# 5
The following is a DFT calculation (PBE) of ZrHg2Sb after structural relaxation.

As for the raw total energy: -3.414 eV per atom. The value obtained for the density of states at the Fermi level is 3.14 states/eV per cell. As for the space group: Cmm2 (35). The calculation puts the magnetic moment at 0.0 μB per formula unit. The calculation puts the energy relative to the elements, uncorrected at -0.10 eV per atom.

Cell lengths 3.1723, 3.1723, 10.2309 Å; angles 90.00, 90.00, 97.64 degrees
Closest atoms and distances in Å follow each position.
Fractional positions:
Hg (0.0000, 0.0000, 0.9676)  4 Zr 3.01-3.23, 4 Hg 3.17
Hg (0.5000, 0.5000, 0.2369)  6 Hg 3.17-3.46
Sb (0.0000, 0.0000, 0.5399)  4 Zr 3.04-3.25, 4 Sb 3.17
Zr (0.5000, 0.5000, 0.7555)  4 Hg 3.01-3.23, 4 Sb 3.04-3.25, 4 Zr 3.17

=====

# 6
The following is a DFT calculation (PBE) of Li2YCo after structural relaxation.

As for the raw total energy: -3.944 eV per atom. The value obtained for the density of states at the Fermi level is 3.57 states/eV per cell. As for the space group: Cmmm (65). The formation energy from the elements comes out at 405.0 meV/atom. The calculation puts the offset from the most stable computed form at 0.313 eV per atom. The calculation puts the magnetic moment at 1.1 μB per formula unit.

Cell lengths 5.3698, 5.3698, 3.0289 Å; angles 90.00, 90.00, 121.85 degrees
Closest atoms and distances in Å follow each position.
Fractional positions:
Co (0.0000, 0.5000, 0.5000)  2 Y 2.61
Li (0.0000, 0.0000, 0.0000)  2 Li 2.61
Li (0.5000, 0.5000, 0.0000)  2 Li 2.61
Y (0.5000, 0.0000, 0.5000)  2 Co 2.61